Entry 1:
Zr2ZnIn | GGA-PBEsol | relaxed

Summary:
As for the spin magnetization: 0.000 μB/atom. As for the crystal system: tetragonal. The value obtained for the formation energy is -0.3263 eV per atom.

a = 3.0465 Å, b = 3.0465 Å, c = 8.3462 Å
α = 90.00°, β = 90.00°, γ = 90.00°
With the nearest neighbours (Å) after each atom.
Fractional coordinates of all 4 atoms:
1 Zr 0.0000 0.0000 0.2266  4 Zn 2.87, 4 Zr 3.05, 4 In 3.14
2 Zr 0.0000 0.0000 0.7734  4 Zn 2.87, 4 Zr 3.05, 4 In 3.14
3 Zn 0.5000 0.5000 0.0000  8 Zr 2.87, 4 Zn 3.05
4 In 0.5000 0.5000 0.5000  4 In 3.05, 8 Zr 3.14


Entry 2:
MgZrAg2 | GGA-PBEsol | relaxed

Summary:
As for the spin magnetization: 0.000 μB/atom. As for the crystal system: tetragonal. The value obtained for the formation energy is -0.1481 eV per atom.

a = 3.0705 Å, b = 3.0705 Å, c = 7.7771 Å
α = 90.00°, β = 90.00°, γ = 90.00°
With the nearest neighbours (Å) after each atom.
Fractional coordinates of all 4 atoms:
1 Mg 0.0000 0.0000 0.0000  8 Ag 2.84, 4 Mg 3.07
2 Zr 0.0000 0.0000 0.5000  8 Ag 2.99, 4 Zr 3.07
3 Ag 0.5000 0.5000 0.2363  4 Mg 2.84, 4 Zr 2.99, 4 Ag 3.07
4 Ag 0.5000 0.5000 0.7637  4 Mg 2.84, 4 Zr 2.99, 4 Ag 3.07


Entry 3:
BaSrS2 | GGA-PBEsol | relaxed

Summary:
The offset from the most stable computed form comes out at 0.0000 eV/atom. As for the spin magnetization: 0.000 μB/atom. The value obtained for the formation energy from raw total energies is -1.9032 eV/atom. As for the crystal system: cubic.

a = 5.2459 Å, b = 5.2459 Å, c = 5.2459 Å
α = 60.00°, β = 60.00°, γ = 60.00°
With the nearest neighbours (Å) after each atom.
Fractional coordinates of all 4 atoms:
1 Ba 0.0000 0.0000 0.0000  8 S 3.21
2 Sr 0.5000 0.5000 0.5000  8 S 3.21
3 S 0.2500 0.2500 0.2500  4 Ba 3.21, 4 Sr 3.21
4 S 0.7500 0.7500 0.7500  4 Sr 3.21, 4 Ba 3.21


Entry 4:
Er4Si9Ir13 | GGA-PBEsol | relaxed

Summary:
As for the spin magnetization: 0.000 μB/atom. The value obtained for the formation energy from raw total energies is -1.0195 eV/atom. As for the crystal system: orthorhombic.

a = 3.9025 Å, b = 10.8924 Å, c = 18.8155 Å
α = 90.00°, β = 90.00°, γ = 90.00°
With the nearest neighbours (Å) after each atom.
Fractional coordinates of all 52 atoms:
1 Er 0.2500 0.0589 0.2081  6 Si 3.02-3.09, 8 Ir 3.06-3.28
2 Er 0.2500 0.2500 0.0219  8 Ir 2.98-3.30, 6 Si 3.03
3 Er 0.2500 0.4411 0.2081  6 Si 3.02-3.09, 8 Ir 3.06-3.28
4 Er 0.2500 0.7500 0.5193  6 Si 3.01-3.04, 6 Ir 3.05-3.25
5 Er 0.7500 0.2500 0.4807  6 Si 3.01-3.04, 6 Ir 3.05-3.25
6 Er 0.7500 0.5589 0.7919  6 Si 3.02-3.09, 8 Ir 3.06-3.28
7 Er 0.7500 0.7500 0.9781  8 Ir 2.98-3.30, 6 Si 3.03
8 Er 0.7500 0.9411 0.7919  6 Si 3.02-3.09, 8 Ir 3.06-3.28
9 Si 0.2500 0.0691 0.4149  7 Ir 2.34-2.56
10 Si 0.2500 0.1233 0.7296  6 Ir 2.39-2.52
11 Si 0.2500 0.2500 0.6025  6 Ir 2.38-2.52
12 Si 0.2500 0.3767 0.7296  6 Ir 2.39-2.52
13 Si 0.2500 0.4309 0.4149  7 Ir 2.34-2.56
14 Si 0.2500 0.5625 0.9194  5 Ir 2.35-2.40
15 Si 0.2500 0.7500 0.1014  7 Ir 2.37-2.50
16 Si 0.2500 0.7500 0.7329  5 Ir 2.36-2.42
17 Si 0.2500 0.9375 0.9194  5 Ir 2.35-2.40
18 Si 0.7500 0.0625 0.0806  5 Ir 2.35-2.40
19 Si 0.7500 0.2500 0.2671  5 Ir 2.36-2.42
20 Si 0.7500 0.2500 0.8986  7 Ir 2.37-2.50
21 Si 0.7500 0.4375 0.0806  5 Ir 2.35-2.40
22 Si 0.7500 0.5691 0.5851  7 Ir 2.34-2.56
23 Si 0.7500 0.6233 0.2704  6 Ir 2.39-2.52
24 Si 0.7500 0.7500 0.3975  6 Ir 2.38-2.52
25 Si 0.7500 0.8767 0.2704  6 Ir 2.39-2.52
26 Si 0.7500 0.9309 0.5851  7 Ir 2.34-2.56
27 Ir 0.2500 0.0607 0.5394  4 Si 2.34-2.56
28 Ir 0.2500 0.1255 0.8568  4 Si 2.36-2.50
29 Ir 0.2500 0.2500 0.3428  4 Si 2.39-2.42
30 Ir 0.2500 0.3745 0.8568  4 Si 2.36-2.50
31 Ir 0.2500 0.4393 0.5394  4 Si 2.34-2.56
32 Ir 0.2500 0.5495 0.0467  4 Si 2.39-2.41
33 Ir 0.2500 0.5660 0.6650  4 Si 2.38-2.46
34 Ir 0.2500 0.6224 0.3553  5 Si 2.37-2.52
35 Ir 0.2500 0.7500 0.2272  5 Si 2.37-2.52
36 Ir 0.2500 0.7500 0.8582  3 Si 2.35-2.36
37 Ir 0.2500 0.8776 0.3553  5 Si 2.37-2.52
38 Ir 0.2500 0.9340 0.6650  4 Si 2.38-2.46
39 Ir 0.2500 0.9505 0.0467  4 Si 2.39-2.41
40 Ir 0.7500 0.0495 0.9533  4 Si 2.39-2.41
41 Ir 0.7500 0.0660 0.3350  4 Si 2.38-2.46
42 Ir 0.7500 0.1224 0.6447  5 Si 2.37-2.52
43 Ir 0.7500 0.2500 0.1418  3 Si 2.35-2.36
44 Ir 0.7500 0.2500 0.7728  5 Si 2.37-2.52
45 Ir 0.7500 0.3776 0.6447  5 Si 2.37-2.52
46 Ir 0.7500 0.4340 0.3350  4 Si 2.38-2.46
47 Ir 0.7500 0.4505 0.9533  4 Si 2.39-2.41
48 Ir 0.7500 0.5607 0.4606  4 Si 2.34-2.56
49 Ir 0.7500 0.6255 0.1432  4 Si 2.36-2.50
50 Ir 0.7500 0.7500 0.6572  4 Si 2.39-2.42
51 Ir 0.7500 0.8745 0.1432  4 Si 2.36-2.50
52 Ir 0.7500 0.9393 0.4606  4 Si 2.34-2.56


Q: spin magnetization of number 3 (BaSrS2)?
A: 0.000 μB/atom